[1]
A crystal of MnAs2Rh relaxed with PBEsol. Source: Alexandria via LeMat-Bulk, functional meta-GGA SCAN.

Values from the calculation:
**N(E_F)**: 1.94 states/eV per cell
**E_tot**: -23.4614 eV per atom
**Space group**: Cm, No. 8

abc: 4.574 4.574 4.375
angles: 103.37 103.37 41.21
Element x y z (fractional)
Mn 0.000 0.000 0.000
As 0.489 0.489 0.481
As 0.731 0.731 0.086
Rh 0.221 0.221 0.627

***

[2]
A crystal of MnAs2Rh relaxed with PBEsol. Source: Alexandria via LeMat-Bulk, functional meta-GGA SCAN.

Values from the calculation:
**N(E_F)**: 2.18 states/eV per cell
**E_tot**: -23.2516 eV per atom
**Space group**: R3m, No. 160

abc: 7.717 7.717 7.717
angles: 23.27 23.27 23.27
Element x y z (fractional)
Mn 0.000 0.000 0.000
As 0.264 0.264 0.264
As 0.495 0.495 0.495
Rh 0.757 0.757 0.757

***

[3]
A crystal of MnAs2Rh relaxed with PBEsol. Source: Alexandria via LeMat-Bulk, functional meta-GGA SCAN.

Values from the calculation:
**N(E_F)**: 2.31 states/eV per cell
**E_tot**: -23.2784 eV per atom
**Space group**: C2/m, No. 12

abc: 4.080 4.080 5.134
angles: 102.32 102.32 41.93
Element x y z (fractional)
Mn 0.000 0.000 0.000
As 0.255 0.255 0.770
As 0.745 0.745 0.230
Rh 0.500 0.500 0.500

***

[4]
A crystal of MnAs2Rh relaxed with PBEsol. Source: Alexandria via LeMat-Bulk, functional meta-GGA SCAN.

Values from the calculation:
**N(E_F)**: 2.08 states/eV per cell
**E_tot**: -23.4423 eV per atom
**Space group**: Pmm2, No. 25

abc: 2.950 4.605 4.208
angles: 90.00 90.00 90.00
Element x y z (fractional)
Mn 0.000 0.000 0.000
As 0.000 0.500 0.223
As 0.500 0.000 0.513
Rh 0.500 0.500 0.742

***

[5]
A crystal of MnAsRu2 relaxed with PBEsol. Source: Alexandria via LeMat-Bulk, functional meta-GGA SCAN.

Values from the calculation:
**N(E_F)**: 3.40 states/eV per cell
**E_tot**: -27.0979 eV per atom
**Space group**: Imm2, No. 44

abc: 4.949 4.949 4.949
angles: 145.94 129.49 62.33
Element x y z (fractional)
Mn 0.000 0.000 0.000
As 0.778 0.278 0.500
Ru 0.268 0.768 0.500
Ru 0.547 0.547 0.000

***

[6]
A crystal of MnAsRu2 relaxed with PBEsol. Source: Alexandria via LeMat-Bulk, functional meta-GGA SCAN.

Values from the calculation:
**N(E_F)**: 2.53 states/eV per cell
**E_tot**: -26.9183 eV per atom
**Space group**: P4mm, No. 99

abc: 2.813 2.813 6.415
angles: 90.00 90.00 90.00
Element x y z (fractional)
Mn 0.000 0.000 0.000
As 0.500 0.500 0.787
Ru 0.000 0.000 0.543
Ru 0.500 0.500 0.258

***

[7]
A crystal of MnAsRu2 relaxed with PBEsol. Source: Alexandria via LeMat-Bulk, functional meta-GGA SCAN.

Values from the calculation:
**N(E_F)**: 1.85 states/eV per cell
**E_tot**: -27.3115 eV per atom
**Space group**: P4/mmm, No. 123

abc: 4.158 4.158 3.063
angles: 90.00 90.00 90.00
Element x y z (fractional)
Mn 0.000 0.000 0.000
As 0.500 0.500 0.000
Ru 0.000 0.500 0.500
Ru 0.500 0.000 0.500

***

[8]
A crystal of Mn2AsRu relaxed with PBEsol. Source: Alexandria via LeMat-Bulk, functional meta-GGA SCAN.

Values from the calculation:
**N(E_F)**: 2.15 states/eV per cell
**E_tot**: -23.0842 eV per atom
**Space group**: Cmmm, No. 65

abc: 4.416 4.416 2.854
angles: 90.00 90.00 110.81
Element x y z (fractional)
Mn 0.000 0.500 0.000
Mn 0.500 0.000 0.000
As 0.000 0.000 0.500
Ru 0.500 0.500 0.500

***

[9]
A crystal of MnAsRu relaxed with PBEsol. Source: Alexandria via LeMat-Bulk, functional meta-GGA SCAN.

Values from the calculation:
**N(E_F)**: 2.00 states/eV per cell
**E_tot**: -24.9197 eV per atom
**Space group**: P-62m, No. 189

abc: 6.447 6.447 3.551
angles: 90.00 90.00 120.00
Element x y z (fractional)
Mn 0.000 0.405 0.000
Mn 0.405 0.000 0.000
Mn 0.595 0.595 0.000
As 0.000 0.000 0.000
As 0.333 0.667 0.500
As 0.667 0.333 0.500
Ru 0.000 0.742 0.500
Ru 0.258 0.258 0.500
Ru 0.742 0.000 0.500

***

[10]
A crystal of Mn2AsRu relaxed with PBEsol. Source: Alexandria via LeMat-Bulk, functional meta-GGA SCAN.

Values from the calculation:
**N(E_F)**: 2.45 states/eV per cell
**E_tot**: -23.1172 eV per atom
**Space group**: F-43m, No. 216

abc: 4.109 4.109 4.109
angles: 60.00 60.00 60.00
Element x y z (fractional)
Mn 0.000 0.000 0.000
Mn 0.250 0.250 0.250
As 0.500 0.500 0.500
Ru 0.750 0.750 0.750

***

[11]
A crystal of MnAsRu relaxed with PBEsol. Source: Alexandria via LeMat-Bulk, functional meta-GGA SCAN.

Values from the calculation:
**N(E_F)**: 2.87 states/eV per cell
**E_tot**: -24.3039 eV per atom
**Space group**: I4mm, No. 107

abc: 5.012 5.012 5.012
angles: 146.75 146.75 47.74
Element x y z (fractional)
Mn 0.000 0.000 0.000
As 0.355 0.355 0.000
Ru 0.684 0.684 0.000

***

[12]
A crystal of Mn2AsRu relaxed with PBEsol. Source: Alexandria via LeMat-Bulk, functional meta-GGA SCAN.

Values from the calculation:
**N(E_F)**: 3.06 states/eV per cell
**E_tot**: -22.7435 eV per atom
**Space group**: P4/mmm, No. 123

abc: 2.777 2.777 6.167
angles: 90.00 90.00 90.00
Element x y z (fractional)
Mn 0.000 0.000 0.231
Mn 0.000 0.000 0.769
As 0.500 0.500 0.000
Ru 0.500 0.500 0.500

***

[13]
A crystal of Mn2AsRu relaxed with PBEsol. Source: Alexandria via LeMat-Bulk, functional meta-GGA SCAN.

Values from the calculation:
**N(E_F)**: 2.17 states/eV per cell
**E_tot**: -23.0088 eV per atom
**Space group**: P4mm, No. 99

abc: 2.939 2.939 5.754
angles: 90.00 90.00 90.00
Element x y z (fractional)
Mn 0.000 0.000 0.000
Mn 0.500 0.500 0.239
As 0.500 0.500 0.771
Ru 0.000 0.000 0.506

***

[14]
A crystal of MnAsRu2 relaxed with PBEsol. Source: Alexandria via LeMat-Bulk, functional meta-GGA SCAN.

Values from the calculation:
**N(E_F)**: 3.58 states/eV per cell
**E_tot**: -26.7117 eV per atom
**Space group**: Cmm2, No. 35

abc: 2.733 2.733 8.259
angles: 90.00 90.00 117.47
Element x y z (fractional)
Mn 0.000 0.000 0.000
As 0.500 0.500 0.239
Ru 0.000 0.000 0.483
Ru 0.500 0.500 0.753

***

[15]
A crystal of Mn2AsS relaxed with PBEsol. Source: Alexandria via LeMat-Bulk, functional meta-GGA SCAN.

Values from the calculation:
**N(E_F)**: 2.65 states/eV per cell
**E_tot**: -16.3704 eV per atom
**Space group**: Fm-3m, No. 225
**Uncorrected formation energy**: 0.21 eV per atom

abc: 4.026 4.026 4.026
angles: 60.00 60.00 60.00
Element x y z (fractional)
Mn 0.250 0.250 0.250
Mn 0.750 0.750 0.750
As 0.000 0.000 0.000
S 0.500 0.500 0.500